No. 1
This record from the Alexandria database describes Y3Ho after structural relaxation. The functional is PBE.

abc: 3.640 11.298 6.297
angles: 90.00 90.00 90.00
Fractional positions:
Y 0.000 0.000 0.000
Y 0.000 0.249 0.666
Y 0.000 0.751 0.666
Y 0.500 0.251 0.166
Y 0.500 0.500 0.500
Y 0.500 0.749 0.166
Ho 0.000 0.500 0.998
Ho 0.500 0.000 0.498

Properties
- theoretical density (g/cm³) = 5.54
- E above lowest polymorph (meV/atom) = 1


No. 2
This record from the Alexandria database describes KZnIrAuO after structural relaxation. The functional is PBE.

abc: 4.442 4.442 20.015
angles: 90.00 90.00 120.00
Fractional positions:
K 0.000 0.000 0.000
K 0.333 0.667 0.667
K 0.667 0.333 0.333
Zn 0.000 0.000 0.513
Zn 0.333 0.667 0.180
Zn 0.667 0.333 0.846
Ir 0.000 0.000 0.805
Ir 0.333 0.667 0.472
Ir 0.667 0.333 0.138
Au 0.000 0.000 0.189
Au 0.333 0.667 0.856
Au 0.667 0.333 0.522
O 0.000 0.000 0.714
O 0.333 0.667 0.380
O 0.667 0.333 0.047

Properties
- theoretical density (g/cm³) = 7.42
- E above lowest polymorph (meV/atom) = 40
- uncorrected formation energy (eV/atom) = -0.343


No. 3
This record from the Alexandria database describes La4Pr2Bi3O2 after structural relaxation. The functional is PBE.

abc: 13.965 13.965 13.965
angles: 159.94 159.94 28.52
Fractional positions:
La 0.084 0.584 0.500
La 0.416 0.916 0.500
La 0.584 0.084 0.500
La 0.916 0.416 0.500
Pr 0.198 0.198 0.000
Pr 0.802 0.802 0.000
Bi 0.322 0.322 0.000
Bi 0.500 0.500 0.000
Bi 0.678 0.678 0.000
O 0.104 0.104 0.000
O 0.896 0.896 0.000

Properties
- theoretical density (g/cm³) = 7.76
- uncorrected formation energy (eV/atom) = -1.558


No. 4
This record from the Alexandria database describes SiHgPb2Au6 after structural relaxation. The functional is PBE.

abc: 5.728 8.983 9.056
angles: 90.00 90.00 90.00
Fractional positions:
Si 0.250 0.250 0.226
Si 0.750 0.750 0.774
Hg 0.250 0.750 0.296
Hg 0.750 0.250 0.704
Pb 0.250 0.022 0.713
Pb 0.250 0.478 0.713
Pb 0.750 0.522 0.287
Pb 0.750 0.978 0.287
Au 0.001 0.750 0.558
Au 0.006 0.750 0.011
Au 0.250 0.006 0.105
Au 0.250 0.494 0.105
Au 0.494 0.750 0.011
Au 0.499 0.750 0.558
Au 0.501 0.250 0.442
Au 0.506 0.250 0.989
Au 0.750 0.506 0.895
Au 0.750 0.994 0.895
Au 0.994 0.250 0.989
Au 0.999 0.250 0.442

Properties
- theoretical density (g/cm³) = 13.01
- uncorrected formation energy (eV/atom) = 0.000


No. 5
This record from the Alexandria database describes CeYTlCd after structural relaxation. The functional is PBE.

abc: 7.653 7.653 7.653
angles: 90.00 90.00 90.00
Fractional positions:
Ce 0.000 0.000 0.000
Ce 0.000 0.500 0.500
Ce 0.500 0.000 0.500
Ce 0.500 0.500 0.000
Y 0.000 0.000 0.500
Y 0.000 0.500 0.000
Y 0.500 0.000 0.000
Y 0.500 0.500 0.500
Tl 0.250 0.250 0.750
Tl 0.250 0.750 0.250
Tl 0.750 0.250 0.250
Tl 0.750 0.750 0.750
Cd 0.250 0.250 0.250
Cd 0.250 0.750 0.750
Cd 0.750 0.250 0.750
Cd 0.750 0.750 0.250

Properties
- DFT total energy (eV/atom) = -4.19
- theoretical density (g/cm³) = 8.09


No. 6
This record from the Alexandria database describes TlH3Pt after structural relaxation. The functional is PBE.

abc: 3.813 3.813 3.813
angles: 90.00 90.00 90.00
Fractional positions:
Tl 0.000 0.000 0.000
H 0.000 0.500 0.500
H 0.500 0.000 0.500
H 0.500 0.500 0.000
Pt 0.500 0.500 0.500

Properties
- theoretical density (g/cm³) = 12.05
- E above lowest polymorph (meV/atom) = 61